Density functional theory data (GGA-PBE) for K3HF2 after structural relaxation.

The structure in extended XYZ format:
```
6
Lattice="-1.940 2.740 5.826 1.940 -2.740 5.826 1.940 2.740 -5.826" Properties=species:S:1:pos:R:3 pbc="T T T"
K 0.000 0.000 0.000
K 0.000 0.000 3.822
K 0.000 0.000 7.830
H 0.000 2.740 0.000
F 1.940 0.000 1.941
F 0.000 2.740 3.884
```

Computed properties:
Its space group is Immm (71). For the volume, the calculation gives 20.6 Å³/atom. The value obtained for the energy is -0.133 Ha/atom. For the calculated density, the calculation gives 2.096 Mg/m³. The calculation puts the density of states at the Fermi level at 0.000 states/eV per cell.